! HfFeN2O GGA+U relaxed; values from VASP
! D(E_F), states/eV per cell: 0.912
! Space-group type: P4/mmm
! Calculated total energy, eV/atom: -7.717
! Size of the total moment, μB per atom: 0.786
&SYSTEM
  ibrav = 0, nat = 5, ntyp = 4
/
ATOMIC_SPECIES
Fe 55.84 Fe.upf
O 16.00 O.upf
N 14.01 N.upf
Hf 178.49 Hf.upf
CELL_PARAMETERS angstrom
3.790 0.000 0.000
0.000 3.790 0.000
0.000 0.000 3.651
ATOMIC_POSITIONS angstrom
Fe 0.000 0.000 0.000
O 0.000 0.000 1.825
N 1.895 0.000 0.000
N 0.000 1.895 0.000
Hf 1.895 1.895 1.825